No. 1
## SmErGa2Rh2 (GGA-PBE)

Data for crystalline SmErGa2Rh2 at its relaxed geometry.

Computed properties:
* energy of formation from the pure elements: -816 meV per atom
* volume: 119.5 Å³/cell
* Fermi-level density of states: 0.706 states/eV per atom
* total magnetization: 0.000 μB/atom

```
data_SmErGa2Rh2
_cell_length_a 4.4062
_cell_length_b 4.4062
_cell_length_c 7.1069
_cell_angle_alpha 90.00
_cell_angle_beta 90.00
_cell_angle_gamma 120.00
_space_group_name_H-M_alt 'P -3 m 1'
_space_group_IT_number 164
_space_group_name_Hall '-P 3 2"'
loop_
_atom_site_label
_atom_site_type_symbol
_atom_site_fract_x
_atom_site_fract_y
_atom_site_fract_z
Sm1 Sm 0.0000 0.0000 0.0000
Er1 Er 0.0000 0.0000 0.5000
Ga1 Ga 0.3333 0.6667 0.2669
Rh1 Rh 0.3333 0.6667 0.7229
```

No. 2
## Li4Cd7Hg (GGA-PBE)

Data for crystalline Li4Cd7Hg at its relaxed geometry.

Computed properties:
* energy of formation from the pure elements: -61 meV per atom
* volume: 556.7 Å³/cell
* Fermi-level density of states: 0.350 states/eV per atom
* total magnetization: 0.000 μB/atom

```
data_Li4Cd7Hg
_cell_length_a 10.548
_cell_length_b 5.387
_cell_length_c 10.712
_cell_angle_alpha 90.00
_cell_angle_beta 113.85
_cell_angle_gamma 90.00
_space_group_name_H-M_alt 'C 1 2/m 1'
_space_group_IT_number 12
loop_
_space_group_symop_operation_xyz
'x,y,z'
'-x,-y,-z'
'-x,y,-z'
'x,-y,z'
'x+1/2,y+1/2,z'
'-x+1/2,-y+1/2,-z'
'-x+1/2,y+1/2,-z'
'x+1/2,-y+1/2,z'
loop_
_atom_site_label
_atom_site_type_symbol
_atom_site_fract_x
_atom_site_fract_y
_atom_site_fract_z
Li1 Li 0.092 0.000 0.307
Li2 Li 0.130 0.500 0.780
Cd1 Cd 0.000 0.000 0.000
Cd2 Cd 0.126 0.500 0.476
Cd3 Cd 0.149 0.000 0.619
Cd4 Cd 0.210 0.000 0.903
Hg1 Hg 0.000 0.500 0.000
```

No. 3
## Br2OF (GGA-PBE)

Data for crystalline Br2OF at its relaxed geometry.

Computed properties:
* volume: 210.3 Å³/cell
* Fermi-level density of states: 1.011 states/eV per atom
* total magnetization: 0.000 μB/atom
* raw formation energy: 0.55 eV/atom

```
data_Br2OF
_cell_length_a 3.2566
_cell_length_b 3.2566
_cell_length_c 22.9020
_cell_angle_alpha 90.00
_cell_angle_beta 90.00
_cell_angle_gamma 120.00
_space_group_name_H-M_alt 'R -3 m'
_space_group_IT_number 166
_space_group_name_Hall '-R 3 2"'
loop_
_atom_site_label
_atom_site_type_symbol
_atom_site_fract_x
_atom_site_fract_y
_atom_site_fract_z
Br1 Br 0.0000 0.0000 0.0945
O1 O 0.0000 0.0000 0.5000
F1 F 0.0000 0.0000 0.0000
```

No. 4
## Mg3Tc5 (GGA-PBE)

Data for crystalline Mg3Tc5 at its relaxed geometry.

Computed properties:
* energy of formation from the pure elements: 535 meV per atom
* volume: 264.3 Å³/cell
* Fermi-level density of states: 1.060 states/eV per atom
* total magnetization: 0.153 μB/atom

```
data_Mg3Tc5
_cell_length_a 8.0494
_cell_length_b 8.0494
_cell_length_c 4.7109
_cell_angle_alpha 90.00
_cell_angle_beta 90.00
_cell_angle_gamma 120.00
_space_group_name_H-M_alt 'P 63/m c m'
_space_group_IT_number 193
_space_group_name_Hall '-P 6c 2'
loop_
_atom_site_label
_atom_site_type_symbol
_atom_site_fract_x
_atom_site_fract_y
_atom_site_fract_z
Mg1 Mg 0.0000 0.3983 0.2500
Tc1 Tc 0.0000 0.1874 0.7500
Tc2 Tc 0.3333 0.6667 0.0000
```

No. 5
## UH12Rh6 (GGA-PBE)

Data for crystalline UH12Rh6 at its relaxed geometry.

Computed properties:
* volume: 462.5 Å³/cell
* Fermi-level density of states: 0.495 states/eV per atom
* total DFT energy (no corrections): -5.113 eV per atom
* total magnetization: 0.101 μB/atom

```
data_UH12Rh6
_cell_length_a 8.7498
_cell_length_b 8.7498
_cell_length_c 6.9757
_cell_angle_alpha 90.00
_cell_angle_beta 90.00
_cell_angle_gamma 120.00
_space_group_name_H-M_alt 'R -3'
_space_group_IT_number 148
_space_group_name_Hall '-R 3'
loop_
_atom_site_label
_atom_site_type_symbol
_atom_site_fract_x
_atom_site_fract_y
_atom_site_fract_z
U1 U 0.0000 0.0000 0.0000
H1 H 0.0376 0.7601 0.9110
H2 H 0.0662 0.8538 0.3933
Rh1 Rh 0.0784 0.8408 0.6615
```

No. 6
## Zn6NiPd12 (GGA-PBE)

Data for crystalline Zn6NiPd12 at its relaxed geometry.

Computed properties:
* energy of formation from the pure elements: -237 meV per atom
* volume: 892.1 Å³/cell
* Fermi-level density of states: 0.512 states/eV per atom
* total magnetization: 0.000 μB/atom

```
data_Zn6NiPd12
_cell_length_a 11.6337
_cell_length_b 11.6337
_cell_length_c 7.6108
_cell_angle_alpha 90.00
_cell_angle_beta 90.00
_cell_angle_gamma 120.00
_space_group_name_H-M_alt 'R -3'
_space_group_IT_number 148
_space_group_name_Hall '-R 3'
loop_
_atom_site_label
_atom_site_type_symbol
_atom_site_fract_x
_atom_site_fract_y
_atom_site_fract_z
Zn1 Zn 0.0130 0.1584 0.2559
Ni1 Ni 0.0000 0.0000 0.5000
Pd1 Pd 0.0007 0.7756 0.4195
Pd2 Pd 0.0710 0.2572 0.9529
```